No. 1
Density functional theory data (GGA-PBE) for a relaxed structure of SrErGe2Au2.

Results
As for the energy of formation: -737.9 meV/atom. As for the total energy: -26.461 eV/cell.

Unit cell a=4.5145 b=4.5145 c=7.8905 alpha=90.00 beta=90.00 gamma=120.00
Last column: nearest neighbours and their distance in Å.
Space group P-3m1 (No. 164)
Inequivalent atoms, fractional coordinates:
Sr: 0.0000 0.0000 0.0000  6 Ge 3.45, 6 Au 3.46
Er: 0.0000 0.0000 0.5000  6 Au 3.10, 6 Ge 3.10
Ge: 0.3333 0.6667 0.7138  3 Au 2.61
Au: 0.3333 0.6667 0.2875  3 Ge 2.61

No. 2
Density functional theory data (GGA-PBE) for a relaxed structure of KSc2CuO4.

Results
For the uncorrected formation energy, the calculation gives -2309 meV per atom. As for the total energy: -112.323 eV/cell.

Unit cell a=4.8916 b=4.8916 c=10.2938 alpha=90.00 beta=90.00 gamma=90.00
Last column: nearest neighbours and their distance in Å.
Space group I-42m (No. 121)
Inequivalent atoms, fractional coordinates:
K: 0.0000 0.0000 0.0000  4 O 2.53
Sc: 0.0000 0.5000 0.2500  4 O 2.02
Cu: 0.0000 0.0000 0.5000  4 O 2.15
O: 0.2123 0.2123 0.6521  2 Sc 2.02, 1 Cu 2.15

No. 3
Density functional theory data (GGA-PBE) for a relaxed structure of K3AcBi2Se6.

Results
For the uncorrected formation energy, the calculation gives -1142 meV per atom. As for the total energy: -99.543 eV/cell.

Unit cell a=7.6235 b=13.2088 c=8.1707 alpha=90.00 beta=108.13 gamma=90.00
Last column: nearest neighbours and their distance in Å.
Space group C2/m (No. 12)
Inequivalent atoms, fractional coordinates:
K: 0.0000 0.0000 0.0000  6 Se 3.30-3.41
K: 0.0000 0.3330 0.0000  6 Se 3.30-3.41
Ac: 0.0000 0.5000 0.5000  6 Se 3.12
Bi: 0.0000 0.1668 0.5000  6 Se 3.00
Se: 0.2263 0.0000 0.7148  2 Bi 3.00, 1 Ac 3.12, 1 K 3.30
Se: 0.2441 0.3272 0.7140  2 Bi 3.00, 1 Ac 3.12, 1 K 3.30

No. 4
Density functional theory data (GGA-PBE) for a relaxed structure of Al2Zn2Si.

Results
For the uncorrected formation energy, the calculation gives 248 meV per atom. As for the total energy: -28.431 eV/cell. The calculation puts the energy above the most stable polymorph in this dataset at 0.00 eV/f.u.

Unit cell a=7.7540 b=7.7540 c=2.7361 alpha=90.00 beta=90.00 gamma=90.00
Last column: nearest neighbours and their distance in Å.
Space group P4/mbm (No. 127)
Inequivalent atoms, fractional coordinates:
Al: 0.1794 0.3206 0.0000  6 Zn 2.58-2.74, 2 Al 2.74
Zn: 0.1207 0.6207 0.5000  6 Al 2.58-2.74, 3 Zn 2.65-2.74
Si: 0.0000 0.0000 0.5000  2 Si 2.74

No. 5
Density functional theory data (GGA-PBE) for a relaxed structure of CaCeNdDy.

Results
As for the energy of formation: 240.3 meV/atom. As for the total energy: -65.377 eV/cell.

Unit cell a=8.2181 b=8.2181 c=8.2181 alpha=90.00 beta=90.00 gamma=90.00
Last column: nearest neighbours and their distance in Å.
Space group F-43m (No. 216)
Inequivalent atoms, fractional coordinates:
Ca: 0.0000 0.0000 0.0000  4 Dy 3.56, 4 Nd 3.56
Ce: 0.0000 0.0000 0.5000  4 Dy 3.56, 4 Nd 3.56
Nd: 0.2500 0.2500 0.7500  4 Ce 3.56, 4 Ca 3.56
Dy: 0.2500 0.2500 0.2500  4 Ce 3.56, 4 Ca 3.56

No. 6
Density functional theory data (GGA-PBE) for a relaxed structure of LaSm3.

Results
As for the energy of formation: 23.7 meV/atom. As for the total energy: -37.980 eV/cell.

Unit cell a=5.1863 b=5.1863 c=10.3481 alpha=90.00 beta=90.00 gamma=90.00
Last column: nearest neighbours and their distance in Å.
Space group I4/mmm (No. 139)
Inequivalent atoms, fractional coordinates:
La: 0.0000 0.0000 0.0000  12 Sm 3.66-3.67
Sm: 0.0000 0.0000 0.5000  8 Sm 3.66, 4 La 3.67
Sm: 0.0000 0.5000 0.2500  4 La 3.66, 8 Sm 3.66-3.67

No. 7
Density functional theory data (GGA-PBE) for a relaxed structure of Rb3Hg2Au4.

Results
As for the energy of formation: -244.9 meV/atom. As for the total energy: -37.640 eV/cell. The calculation puts the energy above the most stable polymorph in this dataset at 0.05 eV/f.u.

Unit cell a=12.3373 b=4.7676 c=10.8467 alpha=90.00 beta=116.70 gamma=90.00
Last column: nearest neighbours and their distance in Å.
Space group C2/m (No. 12)
Inequivalent atoms, fractional coordinates:
Rb: 0.0000 0.0000 0.0000  6 Au 3.47-3.75, 2 Rb 3.76, 4 Hg 3.83
Rb: 0.1090 0.0000 0.3838  5 Au 3.39-3.77, 1 Rb 3.76
Hg: 0.2430 0.0000 0.7766  5 Au 3.00-3.05
Au: 0.0919 0.5000 0.6313  2 Au 2.73-2.80, 2 Hg 3.00
Au: 0.1944 0.5000 0.9199  3 Au 2.80-2.91, 3 Hg 3.02-3.05

No. 8
Density functional theory data (GGA-PBE) for a relaxed structure of PaInGe.

Results
As for the energy of formation: 119.0 meV/atom. As for the total energy: -65.979 eV/cell. The calculation puts the energy above the most stable polymorph in this dataset at 1.02 eV/f.u.

Unit cell a=3.1603 b=16.0513 c=5.7087 alpha=90.00 beta=90.00 gamma=90.00
Last column: nearest neighbours and their distance in Å.
Space group Cmcm (No. 63)
Inequivalent atoms, fractional coordinates:
Pa: 0.0000 0.1625 0.2500  2 Ge 2.97, 5 In 3.15-3.28, 2 Pa 3.16
In: 0.0000 0.3586 0.2500  4 Ge 3.11, 5 Pa 3.15-3.28, 2 In 3.16
Ge: 0.0000 0.0000 0.0000  4 Ge 2.85-3.16, 2 Pa 2.97, 4 In 3.11

No. 9
Density functional theory data (GGA-PBE) for a relaxed structure of LiCaOs2.

Results
As for the energy of formation: 460.9 meV/atom. As for the total energy: -24.531 eV/cell. The calculation puts the energy above the most stable polymorph in this dataset at 0.58 eV/f.u.

Unit cell a=3.7420 b=3.7420 c=4.7250 alpha=90.00 beta=90.00 gamma=90.00
Last column: nearest neighbours and their distance in Å.
Space group P4/mmm (No. 123)
Inequivalent atoms, fractional coordinates:
Li: 0.0000 0.0000 0.0000  4 Ca 2.65
Ca: 0.5000 0.5000 0.0000  4 Li 2.65
Os: 0.0000 0.5000 0.5000  4 Os 2.65

No. 10
Density functional theory data (GGA-PBE) for a relaxed structure of YInBr2.

Results
For the uncorrected formation energy, the calculation gives -640 meV per atom. As for the total energy: -60.435 eV/cell. The calculation puts the energy above the most stable polymorph in this dataset at 1.60 eV/f.u.

Unit cell a=7.5494 b=7.5494 c=7.5494 alpha=90.00 beta=90.00 gamma=90.00
Last column: nearest neighbours and their distance in Å.
Space group Fm-3m (No. 225)
Inequivalent atoms, fractional coordinates:
Y: 0.0000 0.0000 0.0000  8 Br 3.27
In: 0.0000 0.0000 0.5000  8 Br 3.27
Br: 0.2500 0.2500 0.2500  4 In 3.27, 4 Y 3.27

No. 11
Density functional theory data (GGA-PBE) for a relaxed structure of La2NdY5Sc.

Results
As for the energy of formation: 152.4 meV/atom. As for the total energy: -207.611 eV/cell.

Unit cell a=5.6524 b=19.9772 c=10.5605 alpha=90.00 beta=90.00 gamma=90.00
Last column: nearest neighbours and their distance in Å.
Space group Cmc2_1 (No. 36)
Inequivalent atoms, fractional coordinates:
La: 0.0000 0.1138 0.0000  8 Y 3.22-3.58, 1 Sc 3.56
La: 0.0000 0.1160 0.4205  1 Sc 3.36, 7 Y 3.48-3.70, 2 Nd 3.74
Nd: 0.0000 0.4118 0.1457  5 Y 3.07-3.29
Y: 0.0000 0.0152 0.7045  2 Nd 3.24, 3 La 3.36-3.61, 1 Sc 3.61
Y: 0.0000 0.2750 0.0141  1 Nd 3.07, 1 La 3.22, 2 Y 3.42
Y: 0.0000 0.2949 0.3875  4 Y 3.42-3.78, 2 Sc 3.45, 1 Nd 3.46, 3 La 3.57-3.59
Y: 0.0000 0.3716 0.7056  1 Sc 3.51, 4 La 3.58-3.63, 4 Y 3.69-3.79
Y: 0.0000 0.4829 0.4265  2 Nd 3.13-3.29
Sc: 0.0000 0.1958 0.7008  2 La 3.36-3.56, 7 Y 3.45-3.67, 2 Nd 3.60

No. 12
Density functional theory data (GGA-PBE) for a relaxed structure of NbGePt.

Results
As for the energy of formation: -551.2 meV/atom. As for the total energy: -89.527 eV/cell.

Unit cell a=6.5239 b=3.9630 c=7.5932 alpha=90.00 beta=90.00 gamma=90.00
Last column: nearest neighbours and their distance in Å.
Space group Pnma (No. 62)
Inequivalent atoms, fractional coordinates:
Nb: 0.0283 0.2500 0.1688  5 Ge 2.71-2.87, 3 Pt 2.98-3.02
Ge: 0.2367 0.7500 0.3749  4 Pt 2.46-2.59, 1 Nb 2.71
Pt: 0.1535 0.2500 0.5643  4 Ge 2.46-2.59

No. 13
Density functional theory data (GGA-PBE) for a relaxed structure of Sr2CaSe3.

Results
For the uncorrected formation energy, the calculation gives -2045 meV per atom. As for the total energy: -56.179 eV/cell.

Unit cell a=4.3747 b=6.2089 c=13.1257 alpha=90.00 beta=90.00 gamma=90.00
Last column: nearest neighbours and their distance in Å.
Space group Immm (No. 71)
Inequivalent atoms, fractional coordinates:
Sr: 0.0000 0.0000 0.1673  6 Se 3.10-3.16
Ca: 0.0000 0.0000 0.5000  6 Se 3.03-3.10
Se: 0.0000 0.5000 0.1592  2 Ca 3.03, 4 Sr 3.11-3.16
Se: 0.0000 0.5000 0.5000  4 Sr 3.10, 2 Ca 3.10

No. 14
Density functional theory data (GGA-PBE) for a relaxed structure of Cs2SmBr6.

Results
For the uncorrected formation energy, the calculation gives -1543 meV per atom. As for the total energy: -60.702 eV/cell.

Unit cell a=17.3091 b=8.7815 c=5.2898 alpha=90.00 beta=107.72 gamma=90.00
Last column: nearest neighbours and their distance in Å.
Space group C2/m (No. 12)
Inequivalent atoms, fractional coordinates:
Cs: 0.1677 0.0000 0.1675  8 Br 3.69-3.87
Sm: 0.0000 0.5000 0.5000  8 Br 2.95-3.14
Br: 0.0000 0.3079 0.0000  2 Sm 3.14, 5 Br 3.37-3.50
Br: 0.1382 0.2872 0.6381  1 Sm 2.95

No. 15
Density functional theory data (GGA-PBE) for a relaxed structure of CaCd4Ag.

Results
As for the energy of formation: -184.7 meV/atom. As for the total energy: -38.485 eV/cell. The calculation puts the energy above the most stable polymorph in this dataset at 0.00 eV/f.u.

Unit cell a=4.3815 b=16.9913 c=7.8296 alpha=90.00 beta=90.00 gamma=90.00
Last column: nearest neighbours and their distance in Å.
Space group Cmcm (No. 63)
Inequivalent atoms, fractional coordinates:
Ca: 0.0000 0.1234 0.2500  2 Ag 3.20, 5 Cd 3.26-3.36
Cd: 0.0000 0.0683 0.7500  1 Ag 2.91, 8 Cd 3.16-3.23
Cd: 0.0000 0.3246 0.0560  3 Ag 2.80-2.88, 2 Cd 3.01-3.04
Cd: 0.0000 0.5000 0.0000  6 Cd 3.01-3.16
Ag: 0.0000 0.2394 0.7500  7 Cd 2.80-2.91

No. 16
Density functional theory data (GGA-PBE) for a relaxed structure of SnMoPbSe2.

Results
For the uncorrected formation energy, the calculation gives 241 meV per atom. As for the total energy: -24.308 eV/cell.

Unit cell a=4.8504 b=4.8504 c=5.7984 alpha=90.00 beta=90.00 gamma=90.00
Last column: nearest neighbours and their distance in Å.
Space group P4/mmm (No. 123)
Inequivalent atoms, fractional coordinates:
Sn: 0.0000 0.0000 0.0000  4 Pb 3.43, 8 Se 3.78
Mo: 0.5000 0.5000 0.5000  4 Se 2.43
Pb: 0.5000 0.5000 0.0000  2 Mo 2.90
Se: 0.0000 0.5000 0.5000  2 Mo 2.43

No. 17
Density functional theory data (GGA-PBE) for a relaxed structure of NdYSc2.

Results
As for the energy of formation: 62.5 meV/atom. As for the total energy: -70.935 eV/cell. The calculation puts the energy above the most stable polymorph in this dataset at 0.02 eV/f.u.

Unit cell a=3.4874 b=3.4874 c=32.9430 alpha=90.00 beta=90.00 gamma=120.00
Last column: nearest neighbours and their distance in Å.
Space group R3m (No. 160, hexagonal axes)
Inequivalent atoms, fractional coordinates:
Nd: 0.0000 0.0000 0.0000  6 Sc 3.42-3.44, 6 Nd 3.49
Y: 0.0000 0.0000 0.1661  6 Sc 3.37-3.38, 6 Y 3.49
Sc: 0.0000 0.0000 0.4172  3 Y 3.37, 3 Nd 3.42, 6 Sc 3.49
Sc: 0.0000 0.0000 0.5820  3 Y 3.38, 3 Nd 3.44, 6 Sc 3.49

No. 18
Density functional theory data (GGA-PBE) for a relaxed structure of KIr3S.

Results
For the uncorrected formation energy, the calculation gives 3451 meV per atom. As for the total energy: -14.551 eV/cell. The calculation puts the energy above the most stable polymorph in this dataset at 13.30 eV/f.u.

Unit cell a=4.8228 b=4.8228 c=4.8228 alpha=90.00 beta=90.00 gamma=90.00
Last column: nearest neighbours and their distance in Å.
Space group Pm-3m (No. 221)
Inequivalent atoms, fractional coordinates:
K: 0.0000 0.0000 0.0000  6 Ir 2.41
Ir: 0.0000 0.0000 0.5000  2 K 2.41
S: 0.5000 0.5000 0.5000  12 Ir 3.41

No. 19
Density functional theory data (GGA-PBE) for a relaxed structure of La5Pm8Cd.

Results
As for the energy of formation: 174.0 meV/atom. As for the total energy: -122.243 eV/cell.

Unit cell a=9.8825 b=9.8825 c=10.0637 alpha=90.00 beta=90.00 gamma=90.00
Last column: nearest neighbours and their distance in Å.
Space group I-4 (No. 82)
Inequivalent atoms, fractional coordinates:
La: 0.0000 0.0000 0.0000  8 Pm 3.22-3.47
La: 0.0969 0.2124 0.5830  8 Pm 3.40-3.76, 2 La 3.67
Pm: 0.0671 0.3330 0.9144  5 La 3.40-3.76, 2 Pm 3.56-3.61
Pm: 0.0816 0.1929 0.2453  1 Cd 3.14, 3 La 3.22-3.51
Cd: 0.0000 0.5000 0.2500  4 Pm 3.14

No. 20
Density functional theory data (GGA-PBE) for a relaxed structure of HgBi5Rh3.

Results
As for the energy of formation: -11.1 meV/atom. As for the total energy: -167.442 eV/cell.

Unit cell a=11.7740 b=9.1603 c=10.2766 alpha=90.00 beta=119.04 gamma=90.00
Last column: nearest neighbours and their distance in Å.
Space group C2/m (No. 12)
Inequivalent atoms, fractional coordinates:
Hg: 0.0769 0.0000 0.2943  3 Rh 2.67-2.82
Bi: 0.0000 0.2974 0.0000  3 Rh 2.72-2.76
Bi: 0.0672 0.5000 0.3729  2 Rh 2.65-2.74
Bi: 0.1771 0.2177 0.6214  3 Rh 2.71-2.73
Bi: 0.2362 0.0000 0.0110  3 Rh 2.62-2.73
Rh: 0.0000 0.0000 0.0000  2 Hg 2.70, 4 Bi 2.72-2.73
Rh: 0.0000 0.0000 0.5000  2 Hg 2.67, 4 Bi 2.71
Rh: 0.1757 0.5000 0.1901  6 Bi 2.73-2.76
Rh: 0.1821 0.5000 0.7025  4 Bi 2.62-2.71, 1 Hg 2.82